VASP calculation (PBE) on a relaxed structure of EuBSe2.

Calculated values
- mass density (Mg/m³) = 4.15
- total moment (μB per cell) = 24.0
- ΔE_f (raw) (eV per atom) = -0.412
- final energy (eV per atom) = -6.393

Cell lengths 4.6942, 4.6942, 20.1534 Å; angles 90.00, 90.00, 120.00 degrees
Space group R-3m (No. 166, hexagonal axes)
One atom of each set of equivalent atoms:
Eu 0.0000 0.0000 0.0000 [3 per cell]
B 0.0000 0.0000 0.5000 [3 per cell]
Se 0.0000 0.0000 0.4073 [6 per cell]